one.
Compound: Mg2Os2Br
Source: the Alexandria database
Functional: PBE
Structure: optimized geometry

a b c (Å): 8.0051 8.0051 2.9602
angles (deg): 90.00 90.00 90.00
Last column: nearest neighbours and their distance in Å.
Sites, in units of the cell vectors:
Mg: 0.1846 0.3154 0.0000  6 Os 2.81-2.83, 2 Mg 2.96
Mg: 0.3154 0.8154 0.0000  6 Os 2.81-2.83, 2 Mg 2.96
Mg: 0.6846 0.1846 0.0000  6 Os 2.81-2.83, 2 Mg 2.96
Mg: 0.8154 0.6846 0.0000  6 Os 2.81-2.83, 2 Mg 2.96
Os: 0.1019 0.6019 0.5000  1 Os 2.31
Os: 0.3981 0.1019 0.5000  1 Os 2.31
Os: 0.6019 0.8981 0.5000  1 Os 2.31
Os: 0.8981 0.3981 0.5000  1 Os 2.31
Br: 0.0000 0.0000 0.5000  2 Br 2.96, 8 Mg 3.28, 4 Os 3.29
Br: 0.5000 0.5000 0.5000  2 Br 2.96, 8 Mg 3.28, 4 Os 3.29

SG: P4/mbm
Crystal system: tetragonal
M_tot: 0.00 μB/f.u.
DOS(E_F): 0.7067 states/eV per atom

***

two.
Compound: Mg2Os2Br
Source: the Alexandria database
Functional: PBE
Structure: optimized geometry

a b c (Å): 5.3330 5.3330 5.3330
angles (deg): 120.06 120.06 89.89
Last column: nearest neighbours and their distance in Å.
Sites, in units of the cell vectors:
Mg: 0.2500 0.7500 0.5000  4 Os 2.77
Mg: 0.7500 0.2500 0.5000  4 Os 2.77
Os: 0.1501 0.1501 0.0000  1 Os 2.27
Os: 0.8499 0.8499 0.0000  1 Os 2.27
Br: 0.5000 0.5000 0.0000  2 Os 2.64

SG: I4/mmm
Crystal system: tetragonal
M_tot: 0.81 μB/f.u.
DOS(E_F): 1.3138 states/eV per atom

***

Last place for stability: two

***

one.
Compound: MgP2Br
Source: the Alexandria database
Functional: PBE
Structure: optimized geometry

a b c (Å): 4.0685 4.0685 9.2061
angles (deg): 90.00 90.00 130.81
Last column: nearest neighbours and their distance in Å.
Sites, in units of the cell vectors:
Mg: 0.0000 0.0000 0.0000  2 Br 2.50, 2 P 2.63
P: 0.0000 0.0000 0.3645  2 P 2.16
P: 0.5000 0.5000 0.2186  2 P 2.16
Br: 0.5000 0.5000 0.8007  2 Mg 2.50

SG: Cmm2
Crystal system: orthorhombic
M_tot: 0.00 μB/f.u.
DOS(E_F): 0.4535 states/eV per atom

***

two.
Compound: MgP2Br
Source: the Alexandria database
Functional: PBE
Structure: optimized geometry

a b c (Å): 4.7947 4.7947 4.7947
angles (deg): 60.00 60.00 60.00
Last column: nearest neighbours and their distance in Å.
Sites, in units of the cell vectors:
Mg: 0.0000 0.0000 0.0000  8 P 2.94
P: 0.2500 0.2500 0.2500  4 Br 2.94, 4 Mg 2.94
P: 0.7500 0.7500 0.7500  4 Br 2.94, 4 Mg 2.94
Br: 0.5000 0.5000 0.5000  8 P 2.94

SG: Fm-3m
Crystal system: cubic
M_tot: 0.00 μB/f.u.
DOS(E_F): 0.9905 states/eV per atom

***

Last place for stability: two